This record from Alexandria describes a geometry-optimized LiAc2GaO6 structure. The functional is PBE-GGA.

Computed properties:
- crystal system = tetragonal
- formation energy from raw total energies (eV/atom) = -2.328
- magnetic moment (μB per cell) = 4.14
- theoretical density (Mg/m³) = 8.36
- calculated volume (Å³ per cell) = 249.0
- Fermi-level density of states (states/eV per cell) = 12.1

a = 5.607 Å, b = 5.607 Å, c = 7.918 Å
α = 90.00°, β = 90.00°, γ = 90.00°
Last column: magnetic moment on the atom in μB.
Positions (direct):
O  0.247  0.997  0.000  0.30
Ga  0.500  0.250  0.500  0.02
O  0.247  0.503  0.000  0.30
O  0.253  0.497  0.500  0.30
Ac  0.000  0.250  0.250  -0.01
Li  0.500  0.250  0.000  0.00
Ga  0.000  0.750  0.000  0.02
O  0.747  0.003  0.500  0.30
O  0.000  0.750  0.247  0.31
O  0.500  0.250  0.747  0.31
Li  0.000  0.750  0.500  0.00
O  0.000  0.750  0.753  0.31
Ac  0.000  0.250  0.750  -0.01
Ac  0.500  0.750  0.250  -0.01
O  0.253  0.003  0.500  0.30
O  0.747  0.497  0.500  0.30
O  0.500  0.250  0.253  0.31
Ac  0.500  0.750  0.750  -0.01
O  0.753  0.503  0.000  0.30
O  0.753  0.997  0.000  0.30

=====

This record from Alexandria describes a geometry-optimized Ba8SrAs6 structure. The functional is PBE-GGA.

Computed properties:
- crystal system = trigonal
- magnetic moment (μB per cell) = 0.00
- theoretical density (Mg/m³) = 4.70
- formation energy from the elements (eV/atom) = -1.045
- calculated volume (Å³ per cell) = 577.9

a = 9.662 Å, b = 9.662 Å, c = 9.067 Å
α = 57.80°, β = 57.80°, γ = 60.00°
Positions (direct):
Ba  0.232  0.899  0.306
Ba  0.899  0.563  0.306
Ba  0.666  0.666  0.002
As  0.928  0.258  0.212
Ba  0.768  0.101  0.694
As  0.258  0.601  0.212
As  0.601  0.928  0.212
As  0.399  0.072  0.788
Sr  0.000  0.000  0.000
Ba  0.101  0.437  0.694
Ba  0.334  0.334  0.998
As  0.072  0.742  0.788
Ba  0.437  0.768  0.694
Ba  0.563  0.232  0.306
As  0.742  0.399  0.788

=====

This record from Alexandria describes a geometry-optimized Sr5Cd4Pb structure. The functional is PBE-GGA.

Computed properties:
- crystal system = tetragonal
- magnetic moment (μB per cell) = 0.00
- theoretical density (Mg/m³) = 5.39
- formation energy from the elements (eV/atom) = -0.375
- calculated volume (Å³ per cell) = 337.1
- Fermi-level density of states (states/eV per cell) = 7.2

a = 4.022 Å, b = 4.022 Å, c = 20.846 Å
α = 90.00°, β = 90.00°, γ = 90.00°
Positions (direct):
Sr  0.500  0.500  0.896
Cd  0.000  0.000  0.795
Sr  0.500  0.500  0.303
Pb  0.000  0.000  0.000
Sr  0.500  0.500  0.500
Cd  0.000  0.000  0.205
Sr  0.500  0.500  0.104
Cd  0.000  0.000  0.402
Cd  0.000  0.000  0.598
Sr  0.500  0.500  0.697

=====

This record from Alexandria describes a geometry-optimized TbPrPd4 structure. The functional is PBE-GGA.

Computed properties:
- crystal system = cubic
- magnetic moment (μB per cell) = 0.00
- theoretical density (Mg/m³) = 10.22
- formation energy from the elements (eV/atom) = -0.778
- calculated volume (Å³ per cell) = 117.9
- Fermi-level density of states (states/eV per cell) = 1.0

a = 5.504 Å, b = 5.504 Å, c = 5.504 Å
α = 60.00°, β = 60.00°, γ = 60.00°
Positions (direct):
Pd  0.625  0.126  0.625
Pd  0.625  0.625  0.126
Pr  0.000  0.000  0.000
Pd  0.126  0.625  0.625
Pd  0.625  0.625  0.625
Tb  0.250  0.250  0.250